(1)
Density functional theory data (PBEsol) for an optimized crystal structure of CrMo2As.

Geometry as POSCAR:
```
CrMo2As
1.0
-2.302 -3.563 0.558
-0.421 -1.684 3.911
-3.771 0.183 2.013
Cr Mo As
1 2 1
direct
0.250 0.250 0.250 Cr
0.000 0.000 0.000 Mo
0.750 0.750 0.750 Mo
0.500 0.500 0.500 As
```

Values from the calculation:
energy relative to the elements = 0.79 eV/f.u.
total DFT energy (no corrections) = -9.52 eV/atom



(2)
Density functional theory data (PBEsol) for an optimized crystal structure of AsHSCl2.

Geometry as POSCAR:
```
AsHSCl2
1.0
3.729 0.000 0.000
0.000 3.729 0.000
0.000 0.000 6.831
H S Cl As
1 1 2 1
direct
0.000 0.000 0.000 H
0.000 0.000 0.500 S
0.500 0.000 0.000 Cl
0.000 0.500 0.000 Cl
0.500 0.500 0.500 As
```

Values from the calculation:
total DFT energy (no corrections) = -2.87 eV/atom



(3)
Density functional theory data (PBEsol) for an optimized crystal structure of Sc2MoBr.

Geometry as POSCAR:
```
Sc2MoBr
1.0
-2.758 0.858 1.489
1.459 -0.510 2.995
2.361 7.435 0.088
Sc Br Mo
2 1 1
direct
0.000 0.001 0.203 Sc
0.000 0.999 0.797 Sc
0.500 0.000 0.500 Br
0.500 0.500 0.000 Mo
```

Values from the calculation:
total DFT energy (no corrections) = -7.07 eV/atom
polymorph energy (0 for the lowest one) = 0.000 eV per atom
formation energy without anion corrections = -359 meV per atom



(4)
Density functional theory data (PBEsol) for an optimized crystal structure of Ca2Mg2Cu.

Geometry as POSCAR:
```
Ca2Mg2Cu
1.0
-3.916 2.635 -2.182
-4.379 -2.472 -1.322
-4.785 1.051 3.661
Ca Mg Cu
2 2 1
direct
0.387 0.387 0.839 Ca
0.613 0.613 0.161 Ca
0.835 0.835 0.494 Mg
0.165 0.165 0.506 Mg
0.000 0.000 0.000 Cu
```

Values from the calculation:
energy relative to the elements = -0.20 eV/f.u.
total DFT energy (no corrections) = -2.45 eV/atom
polymorph energy (0 for the lowest one) = 0.027 eV per atom



(5)
Density functional theory data (PBEsol) for an optimized crystal structure of Li2P2Au.

Geometry as POSCAR:
```
Li2P2Au
1.0
-0.331 2.203 3.263
2.234 -4.758 3.439
5.848 2.133 -0.847
Li Au P
4 2 4
direct
0.500 0.825 0.325 Li
0.500 0.325 0.175 Li
0.500 0.675 0.825 Li
0.500 0.175 0.675 Li
0.000 0.000 0.000 Au
0.000 0.500 0.500 Au
0.000 0.122 0.378 P
0.000 0.622 0.122 P
0.000 0.878 0.622 P
0.000 0.378 0.878 P
```

Values from the calculation:
energy relative to the elements = -2.28 eV/f.u.
total DFT energy (no corrections) = -4.34 eV/atom



(6)
Density functional theory data (PBEsol) for an optimized crystal structure of SrBeSb2.

Geometry as POSCAR:
```
SrBeSb2
1.0
-5.451 -1.655 -0.805
-0.339 -1.571 5.525
0.517 8.555 -0.532
Be Sr Sb
2 2 4
direct
0.750 0.250 0.500 Be
0.500 0.500 0.000 Be
0.000 0.000 0.000 Sr
0.250 0.750 0.500 Sr
0.547 0.875 0.250 Sb
0.703 0.375 0.250 Sb
0.625 0.453 0.750 Sb
0.125 0.297 0.750 Sb
```

Values from the calculation:
total DFT energy (no corrections) = -3.94 eV/atom
formation energy without anion corrections = -203 meV per atom



(7)
Density functional theory data (PBEsol) for an optimized crystal structure of AlSb2Rh.

Geometry as POSCAR:
```
AlSb2Rh
1.0
4.348 0.000 0.000
0.000 4.348 0.000
-2.174 -2.174 4.110
Sb Al Rh
2 1 1
direct
0.750 0.250 0.500 Sb
0.000 0.000 0.000 Sb
0.500 0.500 0.000 Al
0.250 0.750 0.500 Rh
```

Values from the calculation:
total DFT energy (no corrections) = -5.20 eV/atom
formation energy without anion corrections = 135 meV per atom



(8)
Density functional theory data (PBEsol) for an optimized crystal structure of HgPPb2.

Geometry as POSCAR:
```
HgPPb2
1.0
-3.932 -0.493 -0.092
0.252 -2.767 4.049
-0.579 4.232 2.928
Pb P Hg
2 1 1
direct
0.863 0.500 0.602 Pb
0.912 0.000 0.090 Pb
0.343 0.500 0.207 P
0.383 0.000 0.601 Hg
```

Values from the calculation:
energy relative to the elements = 0.66 eV/f.u.
total DFT energy (no corrections) = -3.42 eV/atom
polymorph energy (0 for the lowest one) = 0.112 eV per atom



(9)
Density functional theory data (PBEsol) for an optimized crystal structure of Ti2BiS.

Geometry as POSCAR:
```
Ti2BiS
1.0
-0.377 4.561 -0.712
-2.791 1.601 -3.332
-3.917 2.203 1.120
S Ti Bi
1 2 1
direct
0.000 0.000 0.000 S
0.750 0.750 0.750 Ti
0.250 0.250 0.250 Ti
0.500 0.500 0.500 Bi
```

Values from the calculation:
total DFT energy (no corrections) = -6.70 eV/atom
polymorph energy (0 for the lowest one) = 0.000 eV per atom
formation energy without anion corrections = -375 meV per atom



(10)
Density functional theory data (PBEsol) for an optimized crystal structure of Co3Re4B4.

Geometry as POSCAR:
```
Co3Re4B4
1.0
5.257 0.000 0.000
0.000 5.257 0.000
0.000 0.000 7.898
Co B Re
6 8 8
direct
0.338 0.162 0.500 Co
0.000 0.000 0.000 Co
0.838 0.338 0.500 Co
0.500 0.500 0.000 Co
0.162 0.662 0.500 Co
0.662 0.838 0.500 Co
0.877 0.377 0.000 B
0.000 0.000 0.621 B
0.500 0.500 0.621 B
0.000 0.000 0.379 B
0.623 0.877 0.000 B
0.377 0.123 0.000 B
0.500 0.500 0.379 B
0.123 0.623 0.000 B
0.175 0.325 0.224 Re
0.325 0.825 0.224 Re
0.825 0.675 0.224 Re
0.825 0.675 0.776 Re
0.675 0.175 0.776 Re
0.175 0.325 0.776 Re
0.325 0.825 0.776 Re
0.675 0.175 0.224 Re
```

Values from the calculation:
energy relative to the elements = -3.30 eV/f.u.
total DFT energy (no corrections) = -9.81 eV/atom



(11)
Density functional theory data (PBEsol) for an optimized crystal structure of HgTe2Rh.

Geometry as POSCAR:
```
HgTe2Rh
1.0
-3.879 -1.233 -1.490
1.843 -1.341 -3.687
0.623 -4.168 1.827
Te Rh Hg
2 1 1
direct
0.000 0.500 0.000 Te
0.500 0.000 0.000 Te
0.000 0.000 0.500 Rh
0.500 0.500 0.500 Hg
```

Values from the calculation:
total DFT energy (no corrections) = -3.55 eV/atom
polymorph energy (0 for the lowest one) = 0.651 eV per atom
formation energy without anion corrections = 391 meV per atom



(12)
Density functional theory data (PBEsol) for an optimized crystal structure of ZrNiHg.

Geometry as POSCAR:
```
ZrNiHg
1.0
3.459 0.000 0.000
-1.729 2.995 0.000
0.000 0.000 5.510
Zr Hg Ni
1 1 1
direct
0.667 0.333 0.381 Zr
0.000 0.000 0.968 Hg
0.333 0.667 0.651 Ni
```

Values from the calculation:
energy relative to the elements = -0.06 eV/f.u.
total DFT energy (no corrections) = -5.29 eV/atom



(13)
Density functional theory data (PBEsol) for an optimized crystal structure of Si2AsRh.

Geometry as POSCAR:
```
Si2AsRh
1.0
-0.339 -2.114 -1.786
0.629 -2.625 2.988
-5.630 2.315 0.506
As Rh Si
1 1 2
direct
0.552 0.552 0.105 As
0.264 0.764 0.528 Rh
0.946 0.946 0.893 Si
0.737 0.237 0.475 Si
```

Values from the calculation:
total DFT energy (no corrections) = -6.24 eV/atom
polymorph energy (0 for the lowest one) = 0.193 eV per atom
formation energy without anion corrections = -60 meV per atom



(14)
Density functional theory data (PBEsol) for an optimized crystal structure of CdCuRe2.

Geometry as POSCAR:
```
CdCuRe2
1.0
-1.307 2.097 1.168
-2.662 0.390 -0.481
-3.402 -4.479 7.435
Cd Cu Re
1 1 2
direct
0.500 0.500 0.500 Cd
0.000 0.000 0.000 Cu
0.256 0.256 0.231 Re
0.744 0.744 0.769 Re
```

Values from the calculation:
energy relative to the elements = 2.09 eV/f.u.
total DFT energy (no corrections) = -7.53 eV/atom



(15)
Density functional theory data (PBEsol) for an optimized crystal structure of CaSi2.

Geometry as POSCAR:
```
CaSi2
1.0
4.048 0.000 0.000
-2.024 3.506 0.000
0.000 0.000 4.179
Ca Si
1 2
direct
0.000 0.000 0.000 Ca
0.333 0.667 0.500 Si
0.667 0.333 0.500 Si
```

Values from the calculation:
total DFT energy (no corrections) = -4.91 eV/atom
formation energy without anion corrections = -365 meV per atom



(16)
Density functional theory data (PBEsol) for an optimized crystal structure of PPtAu.

Geometry as POSCAR:
```
PPtAu
1.0
4.242 0.000 0.000
2.121 3.674 0.000
2.121 1.225 3.463
Pt P Au
1 1 1
direct
0.250 0.250 0.250 Pt
0.500 0.500 0.500 P
0.000 0.000 0.000 Au
```

Values from the calculation:
energy relative to the elements = 0.70 eV/f.u.
total DFT energy (no corrections) = -5.33 eV/atom
polymorph energy (0 for the lowest one) = 0.262 eV per atom



(17)
Density functional theory data (PBEsol) for an optimized crystal structure of Cr4TcMo.

Geometry as POSCAR:
```
Cr4TcMo
1.0
4.721 0.000 0.000
2.361 4.089 0.000
2.361 1.363 3.855
Cr Mo Tc
4 1 1
direct
0.375 0.375 0.874 Cr
0.375 0.375 0.375 Cr
0.874 0.375 0.375 Cr
0.375 0.874 0.375 Cr
0.750 0.750 0.750 Mo
0.000 0.000 0.000 Tc
```

Values from the calculation:
energy relative to the elements = 0.48 eV/f.u.
total DFT energy (no corrections) = -10.59 eV/atom



(18)
Density functional theory data (PBEsol) for an optimized crystal structure of Nd2ZnIn.

Geometry as POSCAR:
```
Nd2ZnIn
1.0
5.276 0.000 0.000
2.638 4.570 0.000
2.638 1.523 4.308
In Nd Zn
1 2 1
direct
0.000 0.000 0.000 In
0.250 0.250 0.250 Nd
0.750 0.750 0.750 Nd
0.500 0.500 0.500 Zn
```

Values from the calculation:
energy relative to the elements = -1.59 eV/f.u.
total DFT energy (no corrections) = -4.12 eV/atom



(19)
Density functional theory data (PBEsol) for an optimized crystal structure of ZnSiCl2.

Geometry as POSCAR:
```
ZnSiCl2
1.0
-1.904 0.176 -2.599
-2.943 -1.626 4.015
1.423 4.881 1.259
Cl Zn Si
2 1 1
direct
0.000 0.000 0.500 Cl
0.000 0.500 0.000 Cl
0.000 0.500 0.500 Zn
0.000 0.000 0.000 Si
```

Values from the calculation:
total DFT energy (no corrections) = -2.83 eV/atom
polymorph energy (0 for the lowest one) = 0.000 eV per atom
formation energy without anion corrections = 2 meV per atom



(20)
Density functional theory data (PBEsol) for an optimized crystal structure of Al2IrBr.

Geometry as POSCAR:
```
Al2IrBr
1.0
-0.476 2.414 -1.616
-3.202 -2.316 -2.516
-3.398 1.376 3.057
Al Br Ir
2 1 1
direct
0.000 0.000 0.000 Al
0.500 0.000 0.500 Al
0.500 0.500 0.000 Br
0.000 0.500 0.500 Ir
```

Values from the calculation:
total DFT energy (no corrections) = -4.59 eV/atom
polymorph energy (0 for the lowest one) = 0.468 eV per atom
formation energy without anion corrections = 380 meV per atom



(21)
Density functional theory data (PBEsol) for an optimized crystal structure of KMg6Ti.

Geometry as POSCAR:
```
KMg6Ti
1.0
-3.031 0.094 -3.206
0.487 -6.640 -0.655
-4.838 -0.803 4.551
Mg Ti K
6 1 1
direct
0.000 0.279 0.721 Mg
0.500 0.500 0.000 Mg
0.000 0.279 0.279 Mg
0.500 0.000 0.500 Mg
0.000 0.721 0.279 Mg
0.000 0.721 0.721 Mg
0.500 0.500 0.500 Ti
0.500 0.000 0.000 K
```

Values from the calculation:
energy relative to the elements = 1.95 eV/f.u.
total DFT energy (no corrections) = -2.23 eV/atom



(22)
Density functional theory data (PBEsol) for an optimized crystal structure of Mn2AlRe.

Geometry as POSCAR:
```
Mn2AlRe
1.0
-1.196 -2.089 -1.659
2.847 -2.603 1.224
-3.203 1.219 3.352
Mn Al Re
2 1 1
direct
0.004 0.004 0.008 Mn
0.748 0.248 0.495 Mn
0.255 0.755 0.511 Al
0.493 0.493 0.985 Re
```

Values from the calculation:
energy relative to the elements = -0.45 eV/f.u.
total DFT energy (no corrections) = -9.35 eV/atom



(23)
Density functional theory data (PBEsol) for an optimized crystal structure of TlTeAu.

Geometry as POSCAR:
```
TlTeAu
1.0
3.892 0.000 0.000
0.000 3.892 0.000
-1.946 -1.946 5.777
Te Au Tl
1 1 1
direct
0.607 0.607 0.213 Te
0.066 0.066 0.132 Au
0.327 0.327 0.654 Tl
```

Values from the calculation:
total DFT energy (no corrections) = -3.31 eV/atom
formation energy without anion corrections = 50 meV per atom



(24)
Density functional theory data (PBEsol) for an optimized crystal structure of MnRuRh.

Geometry as POSCAR:
```
MnRuRh
1.0
-2.552 -0.157 0.555
-0.343 -3.253 -2.496
0.899 -0.545 3.978
Ru Rh Mn
1 1 1
direct
0.500 0.667 0.333 Ru
0.000 0.333 0.667 Rh
0.500 0.000 0.000 Mn
```

Values from the calculation:
energy relative to the elements = 0.43 eV/f.u.
total DFT energy (no corrections) = -9.21 eV/atom
polymorph energy (0 for the lowest one) = 0.081 eV per atom



(25)
Density functional theory data (PBEsol) for an optimized crystal structure of Ta2CrAgSn.

Geometry as POSCAR:
```
Ta2CrAgSn
1.0
4.693 0.000 0.000
0.000 4.854 0.000
0.000 0.000 4.854
Ta Cr Ag Sn
2 1 1 1
direct
0.000 0.500 0.000 Ta
0.000 0.000 0.500 Ta
0.500 0.000 0.000 Cr
0.000 0.000 0.000 Ag
0.500 0.500 0.500 Sn
```

Values from the calculation:
energy relative to the elements = 8.33 eV/f.u.
total DFT energy (no corrections) = -6.92 eV/atom



(26)
Density functional theory data (PBEsol) for an optimized crystal structure of Ni3Mo.

Geometry as POSCAR:
```
Ni3Mo
1.0
3.551 0.000 0.000
0.000 3.551 0.000
-1.775 -1.775 7.275
Ni Mo
6 2
direct
0.120 0.120 0.241 Ni
0.000 0.500 0.000 Ni
0.250 0.750 0.500 Ni
0.880 0.880 0.759 Ni
0.750 0.250 0.500 Ni
0.500 0.000 0.000 Ni
0.627 0.627 0.255 Mo
0.373 0.373 0.745 Mo
```

Values from the calculation:
energy relative to the elements = -0.06 eV/f.u.
total DFT energy (no corrections) = -7.57 eV/atom



(27)
Density functional theory data (PBEsol) for an optimized crystal structure of NaHfSn3.

Geometry as POSCAR:
```
NaHfSn3
1.0
-1.193 4.296 2.501
2.381 -1.764 4.166
4.364 2.137 -1.589
Sn Na Hf
3 1 1
direct
0.000 0.500 0.000 Sn
0.000 0.000 0.500 Sn
0.500 0.000 0.000 Sn
0.000 0.000 0.000 Na
0.500 0.500 0.500 Hf
```

Values from the calculation:
energy relative to the elements = 4.73 eV/f.u.
total DFT energy (no corrections) = -3.99 eV/atom



(28)
Density functional theory data (PBEsol) for an optimized crystal structure of NpSnIr.

Geometry as POSCAR:
```
NpSnIr
1.0
-0.406 0.523 -3.902
-1.314 -7.121 -0.818
-5.517 4.610 1.193
Ir Sn Np
3 3 3
direct
0.500 0.000 0.000 Ir
0.000 0.667 0.333 Ir
0.000 0.333 0.667 Ir
0.000 0.745 0.745 Sn
0.000 0.000 0.255 Sn
0.000 0.255 0.000 Sn
0.500 0.587 0.000 Np
0.500 0.000 0.587 Np
0.500 0.413 0.413 Np
```

Values from the calculation:
energy relative to the elements = -0.75 eV/f.u.
total DFT energy (no corrections) = -9.56 eV/atom



V for the records above, in order: 55.4; 95.0; 85.4; 124.8; 155.9; 250.3; 77.7; 100.8; 70.3; 218.3; 86.3; 57.1; 62.8; 59.4; 59.3; 54.0; 74.4; 103.9; 74.2; 65.8; 197.5; 48.4; 87.5; 38.4; 110.6; 91.7; 133.6; 182.0 Å³ per cell